Entry 1:
DFT (GGA-PBEsol) results for crystalline La3AlZnS7 at its relaxed geometry.

Symmetry = No. 173
Formation energy (no corrections) = -1765 meV/atom
DFT total energy = -0.2253 Ha/atom

a b c (Å): 10.160 10.160 5.969
angles (deg): 90.00 90.00 120.00
Fractional coordinates of all 24 atoms:
La  0.137  0.374  0.000
La  0.237  0.863  0.000
La  0.374  0.237  0.500
La  0.626  0.763  0.000
La  0.763  0.137  0.500
La  0.863  0.626  0.500
Al  0.333  0.667  0.418
Al  0.667  0.333  0.918
Zn  0.000  0.000  0.046
Zn  0.000  0.000  0.546
S  0.093  0.252  0.520
S  0.100  0.582  0.270
S  0.159  0.907  0.520
S  0.252  0.159  0.020
S  0.333  0.667  0.789
S  0.418  0.518  0.270
S  0.482  0.900  0.270
S  0.518  0.100  0.770
S  0.582  0.482  0.770
S  0.667  0.333  0.289
S  0.748  0.841  0.520
S  0.841  0.093  0.020
S  0.900  0.418  0.770
S  0.907  0.748  0.020

***

Entry 2:
DFT (GGA-PBEsol) results for crystalline LaAl2Sb2 at its relaxed geometry.

Symmetry = No. 127
Formation energy (no corrections) = -335 meV/atom
DFT total energy = -0.1788 Ha/atom

a b c (Å): 7.820 7.820 3.862
angles (deg): 90.00 90.00 90.00
Fractional coordinates of all 10 atoms:
La  0.000  0.000  0.000
La  0.500  0.500  0.000
Al  0.119  0.381  0.000
Al  0.381  0.881  0.000
Al  0.619  0.119  0.000
Al  0.881  0.619  0.000
Sb  0.174  0.674  0.500
Sb  0.326  0.174  0.500
Sb  0.674  0.826  0.500
Sb  0.826  0.326  0.500

***

Entry 3:
DFT (GGA-PBEsol) results for crystalline LaAl2Sb at its relaxed geometry.

Symmetry = No. 12
Formation energy (no corrections) = -192 meV/atom
DFT total energy = -0.1732 Ha/atom

a b c (Å): 6.358 6.358 4.368
angles (deg): 109.72 109.72 122.30
Fractional coordinates of all 4 atoms:
La  0.000  0.000  0.000
Al  0.000  0.500  0.000
Al  0.500  0.000  0.000
Sb  0.500  0.500  0.000

***

Entry 4:
DFT (GGA-PBEsol) results for crystalline LaAl2Sb2 at its relaxed geometry.

Symmetry = No. 127
Formation energy (no corrections) = -221 meV/atom
DFT total energy = -0.1745 Ha/atom

a b c (Å): 8.046 8.046 3.807
angles (deg): 90.00 90.00 90.00
Fractional coordinates of all 10 atoms:
La  0.000  0.000  0.000
La  0.500  0.500  0.000
Al  0.150  0.350  0.500
Al  0.350  0.850  0.500
Al  0.650  0.150  0.500
Al  0.850  0.650  0.500
Sb  0.140  0.640  0.000
Sb  0.360  0.140  0.000
Sb  0.640  0.860  0.000
Sb  0.860  0.360  0.000

***

Entry 5:
DFT (GGA-PBEsol) results for crystalline LaScAl2 at its relaxed geometry.

Symmetry = No. 225
Energy relative to the elements = -0.3572 eV per atom
DFT total energy = -0.1981 Ha/atom
Energy above the lowest structure with this stoichiometry = 0.0392 eV/atom

a b c (Å): 5.027 5.027 5.027
angles (deg): 60.00 60.00 60.00
Fractional coordinates of all 4 atoms:
La  0.000  0.000  0.000
Sc  0.500  0.500  0.500
Al  0.250  0.250  0.250
Al  0.750  0.750  0.750

***

Entry 6:
DFT (GGA-PBEsol) results for crystalline LaScAl2 at its relaxed geometry.

Symmetry = No. 47
Energy relative to the elements = -0.3923 eV per atom
DFT total energy = -0.1994 Ha/atom
Energy above the lowest structure with this stoichiometry = 0.0041 eV/atom

a b c (Å): 3.207 4.069 6.895
angles (deg): 90.00 90.00 90.00
Fractional coordinates of all 4 atoms:
La  0.000  0.000  0.000
Sc  0.000  0.000  0.500
Al  0.500  0.500  0.296
Al  0.500  0.500  0.704